Record 1
## SrPmZn10 (PBE)

Data for an optimized crystal structure of SrPmZn10.

## Properties
ΔE_f = -0.2489 eV per atom
symmetry = Pmmm
spin magnetization = 0.000 μB per atom
crystal system = orthorhombic
total DFT energy (no corrections) = -22.2 eV for the cell shown

Structure (POSCAR):
```
SrPmZn10
1.0
4.268 0.000 0.000
0.000 5.449 0.000
0.000 0.000 9.442
Zn Sr Pm
10 1 1
direct
0.500 0.500 0.000
0.000 0.500 0.165
0.500 0.756 0.240
0.500 0.244 0.760
0.500 0.000 0.500
0.000 0.500 0.835
0.500 0.756 0.760
0.000 0.000 0.669
0.500 0.244 0.240
0.000 0.000 0.331
0.000 0.500 0.500
0.000 0.000 0.000
```

Record 2
## SrPmZn4 (PBE)

Data for an optimized crystal structure of SrPmZn4.

## Properties
energy above the most stable polymorph in this dataset = 0 meV/atom
ΔE_f = -0.2751 eV per atom
symmetry = Pmmm
spin magnetization = 0.000 μB per atom
crystal system = orthorhombic
total DFT energy (no corrections) = -13.2 eV for the cell shown

Structure (POSCAR):
```
SrPmZn4
1.0
3.836 -0.001 0.000
0.002 4.541 0.000
-0.001 0.000 8.013
Zn Sr Pm
4 1 1
direct
0.499 0.497 0.324
0.499 0.997 0.158
0.498 0.997 0.838
0.499 0.497 0.673
0.999 0.997 0.498
0.999 0.497 0.998
```

Record 3
## Sr2PmZn (PBE)

Data for an optimized crystal structure of Sr2PmZn.

## Properties
energy above the most stable polymorph in this dataset = 231 meV/atom
ΔE_f = 0.2533 eV per atom
symmetry = R-3m
spin magnetization = 0.114 μB per atom
crystal system = trigonal
total DFT energy (no corrections) = -8.4 eV for the cell shown

Structure (POSCAR):
```
Sr2PmZn
1.0
3.843 0.000 0.000
1.921 3.328 0.000
1.921 1.109 12.115
Sr Zn Pm
2 1 1
direct
0.101 0.101 0.696
0.899 0.899 0.304
0.500 0.500 0.500
0.000 0.000 0.000
```

Record 4
## SrPm4Zn5 (PBE)

Data for an optimized crystal structure of SrPm4Zn5.

## Properties
ΔE_f = -0.2882 eV per atom
symmetry = P4/mmm
spin magnetization = 0.000 μB per atom
crystal system = tetragonal
total DFT energy (no corrections) = -29.9 eV for the cell shown

Structure (POSCAR):
```
SrPm4Zn5
1.0
-3.633 -0.306 -0.601
-0.292 -2.252 2.915
-3.062 14.679 11.033
Pm Zn Sr
4 5 1
direct
0.000 0.000 0.598
0.000 0.000 0.792
0.000 0.000 0.402
0.000 0.000 0.208
0.500 0.500 0.884
0.500 0.500 0.500
0.500 0.500 0.116
0.500 0.500 0.695
0.500 0.500 0.305
0.000 0.000 0.000
```

Record 5
## SrPmZn4 (PBE)

Data for an optimized crystal structure of SrPmZn4.

## Properties
energy above the most stable polymorph in this dataset = 61 meV/atom
ΔE_f = -0.2143 eV per atom
symmetry = F-43m
spin magnetization = 0.000 μB per atom
crystal system = cubic
total DFT energy (no corrections) = -12.8 eV for the cell shown

Structure (POSCAR):
```
SrPmZn4
1.0
5.664 0.000 0.000
2.832 4.905 0.000
2.832 1.635 4.624
Zn Sr Pm
4 1 1
direct
0.627 0.627 0.118
0.118 0.627 0.627
0.627 0.627 0.627
0.627 0.118 0.627
0.250 0.250 0.250
0.000 0.000 0.000
```

Record 6
## Sr3PmZn4 (PBE)

Data for an optimized crystal structure of Sr3PmZn4.

## Properties
ΔE_f = -0.2106 eV per atom
symmetry = P4/mmm
spin magnetization = 0.018 μB per atom
crystal system = tetragonal
total DFT energy (no corrections) = -16.6 eV for the cell shown

Structure (POSCAR):
```
Sr3PmZn4
1.0
3.821 0.000 0.000
0.000 3.821 0.000
0.000 0.000 15.491
Sr Pm Zn
3 1 4
direct
0.500 0.500 0.500
0.500 0.500 0.242
0.500 0.500 0.758
0.500 0.500 0.000
0.000 0.000 0.371
0.000 0.000 0.105
0.000 0.000 0.895
0.000 0.000 0.629
```

Record 7
## Sr2PmZn (PBE)

Data for an optimized crystal structure of Sr2PmZn.

## Properties
energy above the most stable polymorph in this dataset = 0 meV/atom
ΔE_f = 0.0226 eV per atom
symmetry = P4/mmm
spin magnetization = 0.000 μB per atom
crystal system = tetragonal
total DFT energy (no corrections) = -9.3 eV for the cell shown

Structure (POSCAR):
```
Sr2PmZn
1.0
-3.677 -0.936 -0.050
0.404 -1.765 3.334
-2.231 8.514 4.776
Zn Pm Sr
1 1 2
direct
0.500 0.500 0.000
0.500 0.500 0.500
0.000 0.000 0.800
0.000 0.000 0.200
```

Record 8
## SrPm3Zn4 (PBE)

Data for an optimized crystal structure of SrPm3Zn4.

## Properties
ΔE_f = -0.2591 eV per atom
symmetry = Pmma
spin magnetization = 0.000 μB per atom
crystal system = orthorhombic
total DFT energy (no corrections) = -46.2 eV for the cell shown

Structure (POSCAR):
```
SrPm3Zn4
1.0
5.236 0.000 0.000
0.000 7.452 0.000
0.000 0.000 10.476
Zn Pm Sr
8 6 2
direct
0.500 0.237 0.500
0.500 0.237 0.000
0.001 0.237 0.750
0.500 0.763 0.500
0.500 0.763 0.000
0.999 0.763 0.250
0.999 0.237 0.250
0.001 0.763 0.750
0.499 0.000 0.250
0.500 0.500 0.250
0.500 0.500 0.750
0.000 0.000 0.500
0.501 0.000 0.750
0.000 0.000 0.000
0.000 0.500 0.000
0.000 0.500 0.500
```

Record 9
## PmTa3 (PBE)

Data for an optimized crystal structure of PmTa3.

## Properties
ΔE_f = 0.4988 eV per atom
symmetry = Fm-3m
spin magnetization = 0.000 μB per atom
crystal system = cubic
total DFT energy (no corrections) = -38.3 eV for the cell shown

Structure (POSCAR):
```
PmTa3
1.0
-1.407 -3.142 -3.465
0.181 -4.808 0.843
-4.135 -2.542 0.541
Ta Pm
3 1
direct
0.500 0.500 0.500
0.750 0.750 0.750
0.250 0.250 0.250
0.000 0.000 0.000
```

Record 10
## PmTa4 (PBE)

Data for an optimized crystal structure of PmTa4.

## Properties
ΔE_f = 2.4788 eV per atom
symmetry = Pm-3m
spin magnetization = 0.000 μB per atom
crystal system = cubic
total DFT energy (no corrections) = -39.8 eV for the cell shown

Structure (POSCAR):
```
PmTa4
1.0
-1.190 4.713 0.541
-4.536 -0.967 -1.551
-1.388 -0.879 4.607
Ta Pm
4 1
direct
0.000 0.500 0.500
0.500 0.500 0.000
0.500 0.000 0.500
0.000 0.000 0.000
0.500 0.500 0.500
```

Record 11
## PmTa2 (PBE)

Data for an optimized crystal structure of PmTa2.

## Properties
ΔE_f = 0.3127 eV per atom
symmetry = Fd-3m
spin magnetization = 0.000 μB per atom
crystal system = cubic
total DFT energy (no corrections) = -55.0 eV for the cell shown

Structure (POSCAR):
```
PmTa2
1.0
-5.229 1.522 -1.888
-3.577 -3.996 -2.111
-4.695 -1.525 2.975
Ta Pm
4 2
direct
0.125 0.625 0.625
0.625 0.625 0.125
0.625 0.625 0.625
0.625 0.125 0.625
0.000 0.000 0.000
0.250 0.250 0.250
```

Record 12
## Tb2PmTa (PBE)

Data for an optimized crystal structure of Tb2PmTa.

## Properties
ΔE_f = 0.6271 eV per atom
symmetry = R-3m
spin magnetization = 0.000 μB per atom
crystal system = trigonal
total DFT energy (no corrections) = -23.4 eV for the cell shown

Structure (POSCAR):
```
Tb2PmTa
1.0
3.294 0.000 0.000
1.647 2.853 0.000
1.647 0.951 11.850
Ta Tb Pm
1 2 1
direct
0.000 0.000 0.000
0.918 0.918 0.246
0.082 0.082 0.754
0.500 0.500 0.500
```

Record 13
## PmTaTe3 (PBE)

Data for an optimized crystal structure of PmTaTe3.

## Properties
symmetry = C2/m
spin magnetization = 0.000 μB per atom
crystal system = monoclinic
total DFT energy (no corrections) = -60.7 eV for the cell shown
raw formation energy = -0.863 eV per atom

Structure (POSCAR):
```
PmTaTe3
1.0
-0.753 2.656 -2.865
-7.151 -0.848 3.853
2.482 6.630 5.492
Te Pm Ta
6 2 2
direct
0.078 0.190 0.385
0.966 0.964 0.036
0.276 0.585 0.045
0.768 0.569 0.377
0.639 0.311 0.745
0.405 0.843 0.676
0.624 0.281 0.108
0.420 0.873 0.314
0.811 0.656 0.822
0.233 0.498 0.599
```

Record 14
## Pm2ThTa (PBE)

Data for an optimized crystal structure of Pm2ThTa.

## Properties
ΔE_f = 0.6659 eV per atom
symmetry = R-3m
spin magnetization = 0.005 μB per atom
crystal system = trigonal
total DFT energy (no corrections) = -26.1 eV for the cell shown

Structure (POSCAR):
```
Pm2ThTa
1.0
3.322 0.000 0.000
1.661 2.877 0.000
1.661 0.959 11.975
Ta Pm Th
1 2 1
direct
0.000 0.000 0.000
0.918 0.918 0.246
0.082 0.082 0.754
0.500 0.500 0.500
```

Record 15
## PmThTa4 (PBE)

Data for an optimized crystal structure of PmThTa4.

## Properties
ΔE_f = 0.1799 eV per atom
symmetry = F-43m
spin magnetization = 0.000 μB per atom
crystal system = cubic
total DFT energy (no corrections) = -58.5 eV for the cell shown

Structure (POSCAR):
```
PmThTa4
1.0
-4.602 0.299 -3.471
-0.034 -2.879 -5.002
-3.422 -4.601 -0.658
Ta Th Pm
4 1 1
direct
0.125 0.625 0.625
0.625 0.625 0.125
0.625 0.625 0.625
0.625 0.125 0.625
0.250 0.250 0.250
0.000 0.000 0.000
```

Record 16
## PmTm2Ta (PBE)

Data for an optimized crystal structure of PmTm2Ta.

## Properties
ΔE_f = 0.5989 eV per atom
symmetry = R-3m
spin magnetization = 0.092 μB per atom
crystal system = trigonal
total DFT energy (no corrections) = -23.2 eV for the cell shown

Structure (POSCAR):
```
PmTm2Ta
1.0
-0.119 2.368 2.240
0.195 -0.742 3.170
11.687 1.579 1.327
Pm Tm Ta
1 2 1
direct
0.500 0.500 0.500
0.917 0.917 0.249
0.083 0.083 0.751
0.000 0.000 0.000
```

Record 17
## Pm2TmTa (PBE)

Data for an optimized crystal structure of Pm2TmTa.

## Properties
ΔE_f = 0.6339 eV per atom
symmetry = R-3m
spin magnetization = 0.000 μB per atom
crystal system = trigonal
total DFT energy (no corrections) = -23.3 eV for the cell shown

Structure (POSCAR):
```
Pm2TmTa
1.0
3.302 0.000 0.000
1.651 2.860 0.000
1.651 0.953 11.792
Pm Ta Tm
2 1 1
direct
0.917 0.917 0.250
0.083 0.083 0.750
0.000 0.000 0.000
0.500 0.500 0.500
```

Record 18
## PmY2Ta (PBE)

Data for an optimized crystal structure of PmY2Ta.

## Properties
ΔE_f = 0.6397 eV per atom
symmetry = R-3m
spin magnetization = 0.083 μB per atom
crystal system = trigonal
total DFT energy (no corrections) = -27.0 eV for the cell shown

Structure (POSCAR):
```
PmY2Ta
1.0
-0.379 -3.060 -1.177
0.903 -0.701 -3.096
11.044 -4.064 2.383
Pm Ta Y
1 1 2
direct
0.500 0.500 0.500
0.000 0.000 0.000
0.082 0.082 0.753
0.918 0.918 0.247
```

Record 19
## PmTaZn (PBE)

Data for an optimized crystal structure of PmTaZn.

## Properties
ΔE_f = 0.1951 eV per atom
symmetry = Cmmm
spin magnetization = 0.000 μB per atom
crystal system = orthorhombic
total DFT energy (no corrections) = -34.6 eV for the cell shown

Structure (POSCAR):
```
PmTaZn
1.0
-2.245 1.771 -3.328
0.502 -2.883 1.020
-10.709 0.851 7.678
Pm Ta Zn
2 2 2
direct
0.194 0.388 0.179
0.194 0.388 0.821
0.695 0.389 0.634
0.695 0.389 0.366
0.195 0.389 0.500
0.694 0.389 0.000
```

Record 20
## Pm2ZrTa (PBE)

Data for an optimized crystal structure of Pm2ZrTa.

## Properties
ΔE_f = 0.6443 eV per atom
symmetry = R-3m
spin magnetization = 0.000 μB per atom
crystal system = trigonal
total DFT energy (no corrections) = -27.3 eV for the cell shown

Structure (POSCAR):
```
Pm2ZrTa
1.0
-2.556 -0.353 1.932
-0.374 -2.714 1.698
4.994 3.629 9.958
Ta Zr Pm
1 1 2
direct
0.000 0.000 0.000
0.500 0.500 0.500
0.914 0.914 0.258
0.086 0.086 0.742
```

Record 21
## PmZrTa (PBE)

Data for an optimized crystal structure of PmZrTa.

## Properties
ΔE_f = 0.2311 eV per atom
symmetry = Cmcm
spin magnetization = 0.000 μB per atom
crystal system = orthorhombic
total DFT energy (no corrections) = -48.9 eV for the cell shown

Structure (POSCAR):
```
PmZrTa
1.0
-3.736 0.313 0.209
-0.288 -1.185 -3.376
-0.833 -11.379 2.156
Zr Pm Ta
2 2 2
direct
0.250 0.155 0.690
0.750 0.845 0.310
0.750 0.567 0.867
0.250 0.433 0.133
0.750 0.719 0.561
0.250 0.281 0.439
```

Record 22
## Tb3Pm7 (PBE)

Data for an optimized crystal structure of Tb3Pm7.

## Properties
energy above the most stable polymorph in this dataset = 0 meV/atom
ΔE_f = 0.0142 eV per atom
symmetry = C2/m
spin magnetization = 0.000 μB per atom
crystal system = monoclinic
total DFT energy (no corrections) = -47.0 eV for the cell shown

Structure (POSCAR):
```
Tb3Pm7
1.0
-2.686 4.023 -1.688
-5.625 -4.354 -1.426
-0.432 0.459 9.556
Pm Tb
7 3
direct
0.600 0.799 0.200
0.400 0.699 0.799
0.200 0.100 0.400
0.000 0.500 0.000
0.400 0.201 0.800
0.800 0.900 0.600
0.600 0.301 0.201
0.000 0.000 0.000
0.201 0.600 0.402
0.799 0.400 0.598
```

Record 23
## TbPm2 (PBE)

Data for an optimized crystal structure of TbPm2.

## Properties
energy above the most stable polymorph in this dataset = 119 meV/atom
ΔE_f = 0.1341 eV per atom
symmetry = I4_1/amd
spin magnetization = 0.000 μB per atom
crystal system = tetragonal
total DFT energy (no corrections) = -27.5 eV for the cell shown

Structure (POSCAR):
```
TbPm2
1.0
3.512 0.000 0.000
0.000 3.512 0.000
-1.756 -1.756 16.638
Pm Tb
4 2
direct
0.828 0.328 0.656
0.672 0.172 0.344
0.422 0.422 0.844
0.578 0.578 0.156
0.000 0.000 0.000
0.250 0.750 0.500
```

Record 24
## Tb8Pm3 (PBE)

Data for an optimized crystal structure of Tb8Pm3.

## Properties
energy above the most stable polymorph in this dataset = 523 meV/atom
ΔE_f = 0.5370 eV per atom
symmetry = R-3
spin magnetization = 0.000 μB per atom
crystal system = trigonal
total DFT energy (no corrections) = -45.4 eV for the cell shown

Structure (POSCAR):
```
Tb8Pm3
1.0
-5.913 -1.110 -3.866
2.934 -5.267 -3.845
-2.430 -5.150 4.325
Tb Pm
8 3
direct
0.624 0.624 0.624
0.144 0.889 0.304
0.376 0.376 0.376
0.889 0.304 0.144
0.856 0.111 0.696
0.696 0.856 0.111
0.304 0.144 0.889
0.111 0.696 0.856
0.500 0.000 0.500
0.500 0.500 0.000
0.000 0.500 0.500
```

Record 25
## Tb2Pm13 (PBE)

Data for an optimized crystal structure of Tb2Pm13.

## Properties
energy above the most stable polymorph in this dataset = 0 meV/atom
ΔE_f = 0.0576 eV per atom
symmetry = P-1
spin magnetization = 0.000 μB per atom
crystal system = triclinic
total DFT energy (no corrections) = -70.2 eV for the cell shown

Structure (POSCAR):
```
Tb2Pm13
1.0
-2.368 6.319 -0.249
-8.023 -4.306 0.488
3.136 2.807 8.087
Pm Tb
13 2
direct
0.804 0.197 0.795
0.196 0.803 0.205
0.298 0.370 0.971
0.398 0.602 0.403
0.000 0.000 0.000
0.502 0.168 0.166
0.602 0.398 0.597
0.899 0.435 0.235
0.498 0.832 0.834
0.101 0.565 0.765
0.702 0.630 0.029
0.304 0.037 0.637
0.696 0.963 0.363
0.099 0.231 0.431
0.901 0.769 0.569
```

Record 26
## Tb3Pm (PBE)

Data for an optimized crystal structure of Tb3Pm.

## Properties
energy above the most stable polymorph in this dataset = 4 meV/atom
ΔE_f = 0.0179 eV per atom
symmetry = Pm-3m
spin magnetization = 0.000 μB per atom
crystal system = cubic
total DFT energy (no corrections) = -18.6 eV for the cell shown

Structure (POSCAR):
```
Tb3Pm
1.0
5.065 0.000 0.000
0.000 5.065 0.000
0.000 0.000 5.065
Tb Pm
3 1
direct
0.500 0.500 0.000
0.500 0.000 0.500
0.000 0.500 0.500
0.000 0.000 0.000
```